No. 1
First-principles (PBE) data for a relaxed NdZn2Pd2 crystal, as listed in the Alexandria database.

Properties
Energy above the lowest structure with this stoichiometry = 0.000 eV per atom
Raw total energy = -0.3052 Ry/atom
Space-group type = No. 139
Formation enthalpy at 0 K = -59.1 kJ/mol of atoms

Lattice parameters (Å, degrees): 6.614 6.614 6.614 144.57 144.57 50.98
Atoms (fractional coordinates):
Nd: 0.000 0.000 0.000
Zn: 0.250 0.750 0.500
Zn: 0.750 0.250 0.500
Pd: 0.387 0.387 0.000
Pd: 0.613 0.613 0.000



No. 2
First-principles (PBE) data for a relaxed Nd2Zn5Pd4 crystal, as listed in the Alexandria database.

Properties
Raw total energy = -0.2894 Ry/atom
Space-group type = No. 69
Formation enthalpy at 0 K = -58.2 kJ/mol of atoms

Lattice parameters (Å, degrees): 9.535 8.733 5.392 81.19 64.84 33.97
Atoms (fractional coordinates):
Nd: 0.144 0.144 0.856
Nd: 0.856 0.856 0.144
Zn: 0.000 0.000 0.500
Zn: 0.250 0.250 0.250
Zn: 0.500 0.500 0.000
Zn: 0.500 0.500 0.500
Zn: 0.750 0.750 0.750
Pd: 0.212 0.532 0.468
Pd: 0.468 0.788 0.212
Pd: 0.532 0.212 0.788
Pd: 0.788 0.468 0.532



No. 3
First-principles (PBE) data for a relaxed Nd2Zn5Pd3 crystal, as listed in the Alexandria database.

Properties
Raw total energy = -0.2726 Ry/atom
Space-group type = No. 72
Formation enthalpy at 0 K = -54.1 kJ/mol of atoms

Lattice parameters (Å, degrees): 8.828 8.828 8.828 108.63 83.30 142.87
Atoms (fractional coordinates):
Nd: 0.144 0.216 0.360
Nd: 0.356 0.716 0.072
Nd: 0.644 0.284 0.928
Nd: 0.856 0.784 0.640
Zn: 0.054 0.750 0.304
Zn: 0.084 0.678 0.762
Zn: 0.250 0.250 0.000
Zn: 0.416 0.178 0.594
Zn: 0.446 0.750 0.696
Zn: 0.554 0.250 0.304
Zn: 0.584 0.822 0.406
Zn: 0.750 0.750 0.000
Zn: 0.916 0.322 0.238
Zn: 0.946 0.250 0.696
Pd: 0.154 0.909 0.063
Pd: 0.250 0.750 0.500
Pd: 0.346 0.409 0.755
Pd: 0.654 0.591 0.245
Pd: 0.750 0.250 0.500
Pd: 0.846 0.091 0.937



No. 4
First-principles (PBE) data for a relaxed Nd3Zn4Pd4 crystal, as listed in the Alexandria database.

Properties
Energy above the lowest structure with this stoichiometry = 0.040 eV per atom
Raw total energy = -0.3145 Ry/atom
Space-group type = No. 2
Formation enthalpy at 0 K = -60.5 kJ/mol of atoms

Lattice parameters (Å, degrees): 3.878 4.363 13.839 98.82 98.03 90.00
Atoms (fractional coordinates):
Nd: 0.000 0.000 0.000
Nd: 0.147 0.641 0.291
Nd: 0.853 0.359 0.709
Zn: 0.254 0.256 0.508
Zn: 0.401 0.906 0.805
Zn: 0.599 0.094 0.195
Zn: 0.746 0.744 0.492
Pd: 0.308 0.811 0.617
Pd: 0.451 0.452 0.899
Pd: 0.549 0.548 0.101
Pd: 0.692 0.189 0.383



No. 5
First-principles (PBE) data for a relaxed Nd2ZnPd crystal, as listed in the Alexandria database.

Properties
Raw total energy = -0.3324 Ry/atom
Space-group type = No. 123
Formation enthalpy at 0 K = -50.3 kJ/mol of atoms

Lattice parameters (Å, degrees): 3.685 3.685 7.205 90.00 90.00 90.00
Atoms (fractional coordinates):
Nd: 0.000 0.000 0.244
Nd: 0.000 0.000 0.756
Zn: 0.500 0.500 0.500
Pd: 0.500 0.500 0.000



No. 6
First-principles (PBE) data for a relaxed Nd8ZnPd2 crystal, as listed in the Alexandria database.

Properties
Energy above the lowest structure with this stoichiometry = 0.115 eV per atom
Raw total energy = -0.3477 Ry/atom
Space-group type = No. 8
Formation enthalpy at 0 K = -19.6 kJ/mol of atoms

Lattice parameters (Å, degrees): 8.182 8.182 5.857 99.19 99.19 115.84
Atoms (fractional coordinates):
Nd: 0.000 0.000 0.000
Nd: 0.041 0.288 0.585
Nd: 0.142 0.600 0.185
Nd: 0.288 0.041 0.585
Nd: 0.466 0.713 0.771
Nd: 0.600 0.142 0.185
Nd: 0.713 0.466 0.771
Nd: 0.760 0.760 0.372
Zn: 0.377 0.377 0.292
Pd: 0.079 0.679 0.689
Pd: 0.679 0.079 0.689